Here is an optimized crystal structure of NdSmHgAu from Alexandria via LeMat-Bulk. Energies are from GGA-PBE. Values from VASP.

Symmetry = No. 216
Total moment = 0.0 μB per cell
Uncorrected energy = -3.88 eV/atom
Mass density = 10.9 g cm⁻³

The structure in Quantum ESPRESSO input format:
```
&SYSTEM
  ibrav = 0, nat = 4, ntyp = 4
/
ATOMIC_SPECIES
Nd 144.24 Nd.upf
Sm 150.36 Sm.upf
Hg 200.59 Hg.upf
Au 196.97 Au.upf
ATOMIC_POSITIONS angstrom
Nd 0.000 0.000 0.000
Sm 3.754 3.754 3.754
Hg 1.877 1.877 1.877
Au 5.631 5.631 5.631
CELL_PARAMETERS angstrom
0.000 3.754 3.754
3.754 0.000 3.754
3.754 3.754 0.000
```